*1*
BPbSeBr2 | PBE | relaxed

abc: 5.429 5.429 4.135
angles: 90.00 90.00 90.00
Space group P4/mmm (No. 123)
Asymmetric unit:
B (0.000, 0.000, 0.000)
Pb (0.500, 0.500, 0.500)
Se (0.000, 0.000, 0.500)
Br (0.000, 0.500, 0.000)

density of states at the Fermi level = 0.469 states/eV per atom
magnetization = 0.00 Bohr magnetons per cell
density = 6.2 Mg/m³

---

*2*
BPbSeBr2 | PBE | relaxed

abc: 5.872 5.872 5.746
angles: 90.00 90.00 90.00
Space group P4/mmm (No. 123)
Asymmetric unit:
B (0.000, 0.000, 0.000)
Pb (0.500, 0.500, 0.500)
Se (0.500, 0.500, 0.000)
Br (0.000, 0.500, 0.500)

density of states at the Fermi level = 1.148 states/eV per atom
magnetization = 0.51 Bohr magnetons per cell
density = 3.8 Mg/m³

---

Stability, lowest: *2*

---

*1*
B2PdBr2 | PBE | relaxed

abc: 5.029 5.029 6.245
angles: 90.00 90.00 90.00
Space group I4/mmm (No. 139)
Asymmetric unit:
B (0.000, 0.000, 0.138)
Pd (0.000, 0.000, 0.500)
Br (0.000, 0.500, 0.250)

density of states at the Fermi level = 0.652 states/eV per atom
magnetization = 0.00 Bohr magnetons per cell
density = 6.1 Mg/m³

---

*2*
B2PdBr2 | PBE | relaxed

abc: 6.356 6.356 4.450
angles: 90.00 90.00 90.00
Space group P4/mbm (No. 127)
Asymmetric unit:
B (0.227, 0.273, 0.000)
Pd (0.000, 0.000, 0.000)
Br (0.190, 0.310, 0.500)

density of states at the Fermi level = 0.407 states/eV per atom
magnetization = 0.00 Bohr magnetons per cell
density = 5.3 Mg/m³

---

Stability, lowest: *1*

---

*1*
B3PdBr | PBE | relaxed

abc: 4.083 4.083 4.083
angles: 90.00 90.00 90.00
Space group Pm-3m (No. 221)
Asymmetric unit:
B (0.000, 0.000, 0.500)
Pd (0.500, 0.500, 0.500)
Br (0.000, 0.000, 0.000)

density of states at the Fermi level = 0.451 states/eV per atom
magnetization = 0.00 Bohr magnetons per cell
density = 5.3 Mg/m³

---

*2*
B3PdBr | PBE | relaxed

abc: 4.223 4.223 4.223
angles: 90.00 90.00 90.00
Space group Pm-3m (No. 221)
Asymmetric unit:
B (0.000, 0.000, 0.500)
Pd (0.000, 0.000, 0.000)
Br (0.500, 0.500, 0.500)

density of states at the Fermi level = 0.000 states/eV per atom
magnetization = 0.00 Bohr magnetons per cell
density = 4.8 Mg/m³

---

Stability, lowest: *1*

---

*1*
B2PdBr | PBE | relaxed

abc: 6.053 6.053 6.053
angles: 90.00 90.00 90.00
Space group Fm-3m (No. 225)
Asymmetric unit:
B (0.250, 0.250, 0.250)
Pd (0.000, 0.000, 0.000)
Br (0.000, 0.000, 0.500)

density of states at the Fermi level = 0.854 states/eV per atom
magnetization = 0.00 Bohr magnetons per cell
density = 6.2 Mg/m³

---

*2*
B2PdBr | PBE | relaxed

abc: 5.231 5.231 10.039
angles: 90.00 90.00 90.00
Space group I-42d (No. 122)
Asymmetric unit:
B (0.181, 0.250, 0.125)
Pd (0.000, 0.000, 0.000)
Br (0.000, 0.000, 0.500)

density of states at the Fermi level = 0.565 states/eV per atom
magnetization = 0.00 Bohr magnetons per cell
density = 5.0 Mg/m³

---

Stability, lowest: *1*

---

*1*
BPdSeBr2 | PBE | relaxed

abc: 5.182 5.182 4.896
angles: 90.00 90.00 90.00
Space group P4/mmm (No. 123)
Asymmetric unit:
B (0.000, 0.000, 0.000)
Pd (0.500, 0.500, 0.500)
Se (0.500, 0.500, 0.000)
Br (0.000, 0.500, 0.500)

density of states at the Fermi level = 0.876 states/eV per atom
magnetization = 0.61 Bohr magnetons per cell
density = 4.5 Mg/m³

---

*2*
BPdSeBr2 | PBE | relaxed

abc: 5.524 5.524 4.041
angles: 90.00 90.00 90.00
Space group P4/mmm (No. 123)
Asymmetric unit:
B (0.000, 0.000, 0.000)
Pd (0.500, 0.500, 0.000)
Se (0.000, 0.000, 0.500)
Br (0.000, 0.500, 0.500)

density of states at the Fermi level = 1.084 states/eV per atom
magnetization = 0.01 Bohr magnetons per cell
density = 4.8 Mg/m³

---

*3*
BPdSeBr2 | PBE | relaxed

abc: 4.619 4.619 4.598
angles: 90.00 90.00 90.00
Space group P4/mmm (No. 123)
Asymmetric unit:
B (0.000, 0.000, 0.000)
Pd (0.500, 0.500, 0.500)
Se (0.000, 0.000, 0.500)
Br (0.000, 0.500, 0.000)

density of states at the Fermi level = 1.031 states/eV per atom
magnetization = 0.00 Bohr magnetons per cell
density = 6.0 Mg/m³

---

Stability, lowest: *2*

---

*1*
BPdSe2Br | PBE | relaxed

abc: 4.928 4.928 5.220
angles: 90.00 90.00 90.00
Space group P4/mmm (No. 123)
Asymmetric unit:
B (0.000, 0.000, 0.000)
Pd (0.500, 0.500, 0.500)
Se (0.000, 0.500, 0.500)
Br (0.500, 0.500, 0.000)

density of states at the Fermi level = 1.312 states/eV per atom
magnetization = 0.75 Bohr magnetons per cell
density = 4.7 Mg/m³

---

*2*
BPdSe2Br | PBE | relaxed

abc: 4.481 4.481 4.623
angles: 90.00 90.00 90.00
Space group P4/mmm (No. 123)
Asymmetric unit:
B (0.000, 0.000, 0.000)
Pd (0.500, 0.500, 0.500)
Se (0.000, 0.500, 0.000)
Br (0.000, 0.000, 0.500)

density of states at the Fermi level = 1.204 states/eV per atom
magnetization = 0.00 Bohr magnetons per cell
density = 6.4 Mg/m³

---

Stability, lowest: *1*

---

*1*
PmBBr | PBE | relaxed

abc: 7.315 3.370 11.860
angles: 90.00 100.06 90.00
Space group C2/m (No. 12)
Asymmetric unit:
Pm (0.049, 0.000, 0.155)
B (0.221, 0.500, 0.001)
Br (0.210, 0.000, 0.675)

density of states at the Fermi level = 0.571 states/eV per atom
magnetization = 0.00 Bohr magnetons per cell
density = 5.4 Mg/m³

---

*2*
PmBBr | PBE | relaxed

abc: 4.285 4.475 16.464
angles: 90.00 90.00 90.00
Space group Immm (No. 71)
Asymmetric unit:
Pm (0.000, 0.000, 0.120)
B (0.177, 0.500, 0.500)
Br (0.000, 0.000, 0.320)

density of states at the Fermi level = 0.313 states/eV per atom
magnetization = 0.00 Bohr magnetons per cell
density = 5.0 Mg/m³

---

Stability, lowest: *2*

---

*1*
PrBBr | PBE | relaxed

abc: 7.507 3.378 11.960
angles: 90.00 100.28 90.00
Space group C2/m (No. 12)
Asymmetric unit:
Pr (0.052, 0.000, 0.158)
B (0.225, 0.500, 0.002)
Br (0.203, 0.000, 0.672)

density of states at the Fermi level = 0.552 states/eV per atom
magnetization = 0.00 Bohr magnetons per cell
density = 5.2 Mg/m³

---

*2*
PrBBr | PBE | relaxed

abc: 4.333 4.548 16.709
angles: 90.00 90.00 90.00
Space group Immm (No. 71)
Asymmetric unit:
Pr (0.000, 0.000, 0.120)
B (0.175, 0.500, 0.500)
Br (0.000, 0.000, 0.320)

density of states at the Fermi level = 0.347 states/eV per atom
magnetization = 0.00 Bohr magnetons per cell
density = 4.7 Mg/m³

---

Stability, lowest: *2*

---

*1*
B2PtBr | PBE | relaxed

abc: 5.216 5.216 10.179
angles: 90.00 90.00 90.00
Space group I-42d (No. 122)
Asymmetric unit:
B (0.171, 0.250, 0.125)
Pt (0.000, 0.000, 0.000)
Br (0.000, 0.000, 0.500)

density of states at the Fermi level = 0.480 states/eV per atom
magnetization = 0.00 Bohr magnetons per cell
density = 7.1 Mg/m³

---

*2*
B2PtBr | PBE | relaxed

abc: 5.951 5.951 5.951
angles: 90.00 90.00 90.00
Space group Fm-3m (No. 225)
Asymmetric unit:
B (0.250, 0.250, 0.250)
Pt (0.000, 0.000, 0.000)
Br (0.000, 0.000, 0.500)

density of states at the Fermi level = 0.915 states/eV per atom
magnetization = 0.00 Bohr magnetons per cell
density = 9.3 Mg/m³

---

Stability, lowest: *2*

---

*1*
B3PtBr | PBE | relaxed

abc: 4.231 4.231 4.231
angles: 90.00 90.00 90.00
Space group Pm-3m (No. 221)
Asymmetric unit:
B (0.000, 0.000, 0.500)
Pt (0.000, 0.000, 0.000)
Br (0.500, 0.500, 0.500)

density of states at the Fermi level = 0.000 states/eV per atom
magnetization = 0.00 Bohr magnetons per cell
density = 6.7 Mg/m³

---

*2*
B3PtBr | PBE | relaxed

abc: 4.051 4.051 4.051
angles: 90.00 90.00 90.00
Space group Pm-3m (No. 221)
Asymmetric unit:
B (0.000, 0.000, 0.500)
Pt (0.500, 0.500, 0.500)
Br (0.000, 0.000, 0.000)

density of states at the Fermi level = 0.425 states/eV per atom
magnetization = 0.00 Bohr magnetons per cell
density = 7.7 Mg/m³

---

Stability, lowest: *2*

---

*1*
RbBBr2 | PBE | relaxed

abc: 6.695 6.695 13.520
angles: 90.00 90.00 90.00
Space group I-42d (No. 122)
Asymmetric unit:
Rb (0.000, 0.000, 0.000)
B (0.000, 0.000, 0.500)
Br (0.125, 0.250, 0.625)

density of states at the Fermi level = 0.027 states/eV per atom
magnetization = 0.00 Bohr magnetons per cell
density = 2.8 Mg/m³

---

*2*
RbBBr2 | PBE | relaxed

abc: 4.3708 4.3708 26.9839
angles: 90.00 90.00 120.00
Space group R-3m (No. 166, hexagonal axes)
Asymmetric unit:
Rb (0.0000, 0.0000, 0.0000)
B (0.0000, 0.0000, 0.5000)
Br (0.0000, 0.0000, 0.1145)

density of states at the Fermi level = 0.000 states/eV per atom
magnetization = 0.00 Bohr magnetons per cell
density = 2.9 Mg/m³

---

*3*
RbBBr2 | PBE | relaxed

abc: 5.2795 5.2795 25.2239
angles: 90.00 90.00 120.00
Space group R-3m (No. 166, hexagonal axes)
Asymmetric unit:
Rb (0.0000, 0.0000, 0.0000)
B (0.0000, 0.0000, 0.5000)
Br (0.0000, 0.0000, 0.4033)

density of states at the Fermi level = 0.000 states/eV per atom
magnetization = 0.00 Bohr magnetons per cell
density = 2.1 Mg/m³

---

Stability, lowest: *2*

---

*1*
Rb2BBr | PBE | relaxed

abc: 8.290 8.290 8.290
angles: 90.00 90.00 90.00
Space group Fm-3m (No. 225)
Asymmetric unit:
Rb (0.250, 0.250, 0.250)
B (0.000, 0.000, 0.000)
Br (0.000, 0.000, 0.500)

density of states at the Fermi level = 2.251 states/eV per atom
magnetization = 8.00 Bohr magnetons per cell
density = 3.1 Mg/m³

---

*2*
Rb2BBr | PBE | relaxed

abc: 8.895 8.895 9.216
angles: 90.00 90.00 90.00
Space group I-42d (No. 122)
Asymmetric unit:
Rb (0.244, 0.250, 0.125)
B (0.000, 0.000, 0.000)
Br (0.000, 0.000, 0.500)

density of states at the Fermi level = 0.152 states/eV per atom
magnetization = 8.00 Bohr magnetons per cell
density = 2.4 Mg/m³

---

Stability, lowest: *2*